Compound: Ta3MnFe8
Source: Alexandria via LeMat-Bulk
Functional: PBE
Structure: optimized geometry

Results
* total magnetization: 16.40 μB/cell
* ΔE_f: -0.163 eV per atom
* symmetry: R3m

Lattice parameters (Å, degrees): 4.796 4.796 8.289 73.18 73.18 60.00
Fractional positions:
Fe 0.188 0.188 0.437
Fe 0.688 0.688 0.936
Fe 0.937 0.937 0.688
Fe 0.937 0.438 0.688
Fe 0.437 0.437 0.187
Fe 0.438 0.937 0.688
Fe 0.939 0.437 0.187
Fe 0.437 0.939 0.187
Mn 0.874 0.874 0.378
Ta 0.377 0.377 0.870
Ta 0.996 0.996 0.013
Ta 0.503 0.503 0.491